Entry w
# RbZr3Si (GGA-PBE, optimized geometry)
# Volume in Å³/cell: 142
# Total moment in μB per formula unit: 0.000
data_RbZr3Si
_cell_length_a 5.213
_cell_length_b 5.213
_cell_length_c 5.213
_cell_angle_alpha 90.00
_cell_angle_beta 90.00
_cell_angle_gamma 90.00
_space_group_name_H-M_alt 'P m -3 m'
_space_group_IT_number 221
_space_group_name_Hall '-P 4 2 3'
loop_
_atom_site_label
_atom_site_type_symbol
_atom_site_fract_x
_atom_site_fract_y
_atom_site_fract_z
Rb1 Rb 0.000 0.000 0.000
Zr1 Zr 0.000 0.500 0.500
Si1 Si 0.500 0.500 0.500



Entry x
# RbZr3Si (GGA-PBE, optimized geometry)
# Volume in Å³/cell: 123
# Total moment in μB per formula unit: 1.564
data_RbZr3Si
_cell_length_a 4.972
_cell_length_b 4.972
_cell_length_c 4.972
_cell_angle_alpha 90.00
_cell_angle_beta 90.00
_cell_angle_gamma 90.00
_space_group_name_H-M_alt 'P m -3 m'
_space_group_IT_number 221
_space_group_name_Hall '-P 4 2 3'
loop_
_atom_site_label
_atom_site_type_symbol
_atom_site_fract_x
_atom_site_fract_y
_atom_site_fract_z
Rb1 Rb 0.000 0.000 0.000
Zr1 Zr 0.000 0.000 0.500
Si1 Si 0.500 0.500 0.500



Relative energies, in kJ/mol of atoms, with the most stable structure set to zero: entry w 0.0; entry x 145.0.



Entry w
# RbZrSi3 (GGA-PBE, optimized geometry)
# Volume in Å³/cell: 128
# Total moment in μB per formula unit: 0.000
data_RbZrSi3
_cell_length_a 5.037
_cell_length_b 5.037
_cell_length_c 5.037
_cell_angle_alpha 90.00
_cell_angle_beta 90.00
_cell_angle_gamma 90.00
_space_group_name_H-M_alt 'P m -3 m'
_space_group_IT_number 221
_space_group_name_Hall '-P 4 2 3'
loop_
_atom_site_label
_atom_site_type_symbol
_atom_site_fract_x
_atom_site_fract_y
_atom_site_fract_z
Rb1 Rb 0.000 0.000 0.000
Zr1 Zr 0.500 0.500 0.500
Si1 Si 0.000 0.000 0.500



Entry x
# RbZrSi3 (GGA-PBE, optimized geometry)
# Volume in Å³/cell: 141
# Total moment in μB per formula unit: 0.000
data_RbZrSi3
_cell_length_a 5.207
_cell_length_b 5.207
_cell_length_c 5.207
_cell_angle_alpha 90.00
_cell_angle_beta 90.00
_cell_angle_gamma 90.00
_space_group_name_H-M_alt 'P m -3 m'
_space_group_IT_number 221
_space_group_name_Hall '-P 4 2 3'
loop_
_atom_site_label
_atom_site_type_symbol
_atom_site_fract_x
_atom_site_fract_y
_atom_site_fract_z
Rb1 Rb 0.000 0.000 0.000
Zr1 Zr 0.500 0.500 0.500
Si1 Si 0.000 0.500 0.500



Relative energies, in kJ/mol of atoms, with the most stable structure set to zero: entry w 170.8; entry x 0.0.



Entry w
# RbSrSn2 (GGA-PBE, optimized geometry)
# Volume in Å³/cell: 613
# Total moment in μB per formula unit: 0.000
data_RbSrSn2
_cell_length_a 9.639
_cell_length_b 9.639
_cell_length_c 6.602
_cell_angle_alpha 90.00
_cell_angle_beta 90.00
_cell_angle_gamma 90.00
_space_group_name_H-M_alt 'I -4 2 d'
_space_group_IT_number 122
_space_group_name_Hall 'I -4 2bw'
loop_
_atom_site_label
_atom_site_type_symbol
_atom_site_fract_x
_atom_site_fract_y
_atom_site_fract_z
Rb1 Rb 0.000 0.000 0.000
Sr1 Sr 0.000 0.000 0.500
Sn1 Sn 0.234 0.750 0.625



Entry x
# RbSrSn2 (GGA-PBE, optimized geometry)
# Volume in Å³/cell: 577
# Total moment in μB per formula unit: 0.000
data_RbSrSn2
_cell_length_a 8.323
_cell_length_b 8.323
_cell_length_c 8.323
_cell_angle_alpha 90.00
_cell_angle_beta 90.00
_cell_angle_gamma 90.00
_space_group_name_H-M_alt 'F m -3 m'
_space_group_IT_number 225
_space_group_name_Hall '-F 4 2 3'
loop_
_atom_site_label
_atom_site_type_symbol
_atom_site_fract_x
_atom_site_fract_y
_atom_site_fract_z
Rb1 Rb 0.000 0.000 0.000
Sr1 Sr 0.000 0.000 0.500
Sn1 Sn 0.250 0.250 0.250



Relative energies, in kJ/mol of atoms, with the most stable structure set to zero: entry w 23.7; entry x 0.0.



Entry w
# RbSrSn4 (GGA-PBE, optimized geometry)
# Volume in Å³/cell: 773
# Total moment in μB per formula unit: 0.000
data_RbSrSn4
_cell_length_a 9.177
_cell_length_b 9.177
_cell_length_c 9.177
_cell_angle_alpha 90.00
_cell_angle_beta 90.00
_cell_angle_gamma 90.00
_space_group_name_H-M_alt 'F -4 3 m'
_space_group_IT_number 216
_space_group_name_Hall 'F -4 2 3'
loop_
_atom_site_label
_atom_site_type_symbol
_atom_site_fract_x
_atom_site_fract_y
_atom_site_fract_z
Rb1 Rb 0.000 0.000 0.000
Sr1 Sr 0.250 0.250 0.250
Sn1 Sn 0.124 0.124 0.624



Entry x
# RbSrSn4 (GGA-PBE, optimized geometry)
# Volume in Å³/cell: 393
# Total moment in μB per formula unit: 0.000
data_RbSrSn4
_cell_length_a 5.561
_cell_length_b 12.494
_cell_length_c 5.650
_cell_angle_alpha 90.00
_cell_angle_beta 90.00
_cell_angle_gamma 90.00
_space_group_name_H-M_alt 'C m m m'
_space_group_IT_number 65
_space_group_name_Hall '-C 2 2'
loop_
_atom_site_label
_atom_site_type_symbol
_atom_site_fract_x
_atom_site_fract_y
_atom_site_fract_z
Rb1 Rb 0.000 0.000 0.000
Sr1 Sr 0.000 0.500 0.500
Sn1 Sn 0.000 0.197 0.500
Sn2 Sn 0.000 0.305 0.000



Relative energies, in kJ/mol of atoms, with the most stable structure set to zero: entry w 0.0; entry x 4.6.



Entry w
# RbSn2Te3 (GGA-PBE, optimized geometry)
# Volume in Å³/cell: 462
# Total moment in μB per formula unit: 0.000
data_RbSn2Te3
_cell_length_a 4.249
_cell_length_b 12.741
_cell_length_c 8.526
_cell_angle_alpha 90.00
_cell_angle_beta 90.00
_cell_angle_gamma 90.00
_space_group_name_H-M_alt 'P m c 21'
_space_group_IT_number 26
loop_
_space_group_symop_operation_xyz
'x,y,z'
'-x,-y,z+1/2'
'-x,y,z'
'x,-y,z+1/2'
loop_
_atom_site_label
_atom_site_type_symbol
_atom_site_fract_x
_atom_site_fract_y
_atom_site_fract_z
Rb1 Rb 0.000 0.141 0.000
Sn1 Sn 0.000 0.219 0.501
Sn2 Sn 0.500 0.498 0.034
Te1 Te 0.000 0.395 0.727
Te2 Te 0.500 0.085 0.645
Te3 Te 0.500 0.311 0.266



Entry x
# RbSn2Te3 (GGA-PBE, optimized geometry)
# Volume in Å³/cell: 1016
# Total moment in μB per formula unit: 0.000
data_RbSn2Te3
_cell_length_a 11.541
_cell_length_b 12.074
_cell_length_c 7.294
_cell_angle_alpha 90.00
_cell_angle_beta 90.00
_cell_angle_gamma 90.00
_space_group_name_H-M_alt 'C m c m'
_space_group_IT_number 63
_space_group_name_Hall '-C 2c 2'
loop_
_atom_site_label
_atom_site_type_symbol
_atom_site_fract_x
_atom_site_fract_y
_atom_site_fract_z
Rb1 Rb 0.000 0.153 0.250
Sn1 Sn 0.148 0.500 0.000
Te1 Te 0.000 0.330 0.750
Te2 Te 0.202 0.125 0.750



Relative energies, in kJ/mol of atoms, with the most stable structure set to zero: entry w 0.0; entry x 9.1.